PBE with a Hubbard U RbVF3, optimized geometry; space-group type = P6_3/mmc, No. 194; E_tot = -49.64 eV/cell
1.0
4.320 0.000 0.000
-2.160 3.741 0.000
0.000 0.000 9.007
Rb V F
2 2 6
direct
0.333 0.667 0.250
0.667 0.333 0.750
0.000 0.000 0.000
0.000 0.000 0.500
0.000 0.000 0.250
0.000 0.000 0.750
0.333 0.667 0.552
0.333 0.667 0.948
0.667 0.333 0.052
0.667 0.333 0.448